Record 1
# Ca2GaPd5Pt2

A relaxed Ca2GaPd5Pt2 crystal (PBE, the Alexandria database).

It has space group P4/mbm (No. 127), with a = 9.6724 Å, b = 9.6724 Å, c = 3.9375 Å, α = 90.00°, β = 90.00° and γ = 90.00°. Symmetry generates all atoms from Ca at (0.1683, 0.3317, 0.0000), Ga at (0.0000, 0.0000, 0.0000), Pd at (0.0000, 0.5000, 0.5000), Pd at (0.0624, 0.8089, 0.5000) and Pt at (0.1302, 0.6302, 0.0000).

The calculated density comes out at 9.67 Mg/m³. The value obtained for the total DFT energy (no corrections) is -100.951 eV for the cell shown.


Record 2
# CaGa2PdPt

A relaxed CaGa2PdPt crystal (PBE, the Alexandria database).

It has space group I-4m2 (No. 119), with a = 4.2382 Å, b = 4.2382 Å, c = 10.6544 Å, α = 90.00°, β = 90.00° and γ = 90.00°. Symmetry generates all atoms from Ca at (0.0000, 0.0000, 0.0000), Ga at (0.0000, 0.0000, 0.3796), Pd at (0.0000, 0.5000, 0.7500) and Pt at (0.0000, 0.5000, 0.2500).

The calculated density comes out at 8.35 Mg/m³. The value obtained for the total DFT energy (no corrections) is -46.299 eV for the cell shown.


Values of DFT formation energy, in order: -0.54; -0.77, all in eV per atom.